TiInNi2Se: optimized geometry, PBE-GGA.

a = 4.3771 Å, b = 4.3771 Å, c = 4.7328 Å
α = 90.00°, β = 90.00°, γ = 90.00°
Fractional coordinates of all 5 atoms:
Ti (0.0000, 0.0000, 0.0000)
In (0.5000, 0.5000, 0.0000)
Ni (0.0000, 0.5000, 0.5000)
Ni (0.5000, 0.0000, 0.5000)
Se (0.0000, 0.0000, 0.5000)

Properties
calculated total energy	-5.092	eV per atom
formation energy (no corrections)	0.044	eV/atom